1.
Here is crystalline PuZnTc at its relaxed geometry from Alexandria. Energies are from PBE.

Unit cell a=3.271 b=3.271 c=5.720 alpha=106.61 beta=106.61 gamma=90.00
Element x y z (fractional)
Zn: 0.644 0.644 0.288
Tc: 0.272 0.272 0.545
Pu: 0.934 0.934 0.867

Results
Formation enthalpy at 0 K   0.0875 eV/atom
DOS at the Fermi energy   5.14 states/eV/cell
Electronic total energy   -0.6299 Ry/atom



2.
Here is crystalline LiPPdO2 at its relaxed geometry from Alexandria. Energies are from PBE.

Unit cell a=3.948 b=3.948 c=4.942 alpha=90.00 beta=90.00 gamma=90.00
Element x y z (fractional)
P: 0.000 0.000 0.500
O: 0.000 0.500 0.000
O: 0.500 0.000 0.000
Pd: 0.000 0.000 0.000
Li: 0.500 0.500 0.500

Results
Formation energy (no corrections)   128 meV per atom
DOS at the Fermi energy   3.81 states/eV/cell
Electronic total energy   -0.3203 Ry/atom